Entry from Alexandria via LeMat-Bulk: a geometry-optimized PmAlTc structure (GGA-PBE).

a b c (Å): 5.4808 5.4808 5.4808
angles (deg): 120.96 116.23 92.50
Closest atoms and distances in Å follow each position.
Positions (direct):
Pm  0.3650  0.1150  0.2500  6 Tc 3.08-3.35, 6 Al 3.19-3.26, 4 Pm 3.38-3.39
Pm  0.6350  0.8850  0.7500  6 Tc 3.08-3.35, 6 Al 3.19-3.26, 4 Pm 3.38-3.39
Al  0.0000  0.5000  0.5000  4 Tc 2.74, 2 Al 2.90
Al  0.5000  0.5000  0.0000  4 Tc 2.74, 2 Al 2.90
Tc  0.0000  0.0000  0.5000  2 Tc 2.70, 4 Al 2.74
Tc  0.0000  0.5000  0.0000  2 Tc 2.70, 4 Al 2.74

Summary:
Electronic total energy = -6.625 eV per atom
Energy above the most stable polymorph in this dataset = 0 meV/atom
Formation energy = -1.02 eV/f.u.
Mass density = 7.6 g/cm³
Spin magnetization = 0.00 μB per cell
SG = Imma (74)